Ho2ZrIn3Ir2: relaxed, PBE.

Cell: 3.4970 7.6070 7.6070 Å, 119.33 90.00 90.00°
Last column: nearest neighbours and their distance in Å.
Positions (direct):
Ho  0.5000  0.4206  0.0008  4 Ir 2.92-2.93, 4 In 3.17-3.27
Ho  0.5000  0.0008  0.4206  4 Ir 2.92-2.93, 4 In 3.17-3.27
In  0.0000  0.2361  0.2361  2 Ir 2.93, 2 In 3.12, 2 Zr 3.13, 4 Ho 3.27
In  0.0000  0.9951  0.7659  2 Ir 2.95-3.12, 2 In 3.01-3.12, 2 Ho 3.17, 2 Zr 3.30
In  0.0000  0.7659  0.9951  2 Ir 2.95-3.12, 2 In 3.01-3.12, 2 Ho 3.17, 2 Zr 3.30
Ir  0.0000  0.6631  0.3446  2 Zr 2.78, 4 Ho 2.92-2.93, 2 In 2.93-2.95
Ir  0.0000  0.3446  0.6631  2 Zr 2.78, 4 Ho 2.92-2.93, 2 In 2.93-2.95
Zr  0.5000  0.5739  0.5739  4 Ir 2.78

## Properties
Spin magnetization in μB/f.u.: 0.01
Final energy in eV/atom: -6.083



KHoIn: relaxed, PBE.

Cell: 5.4871 5.4871 5.4871 Å, 60.00 60.00 60.00°
Last column: nearest neighbours and their distance in Å.
Positions (direct):
Ho  0.2500  0.2500  0.2500  4 In 3.36
In  0.0000  0.0000  0.0000  4 Ho 3.36, 4 K 3.36
K  0.7500  0.7500  0.7500  4 In 3.36

## Properties
Spin magnetization in μB/f.u.: 0.80
Relative energy among the computed polymorphs in meV per atom: 0



spin magnetization of number 1 (Ho2ZrIn3Ir2)? 0.01 μB/f.u.



Which value of spin magnetization does entry 2 give? 0.80 μB/f.u.



What is the spin magnetization in the first record? 0.01 μB/f.u.